PuU2PdS5: optimized geometry, GGA-PBE.

## Properties
Energy relative to the elements, uncorrected (eV per atom): -1.211
DOS(E_F) (states/eV/cell): 26.69
Size of the total moment (μB per formula unit): 6.0
Volume (Å³ per cell): 342
Energy (eV/atom): -8.1818

```
PuU2PdS5
1.0
-3.6373 3.6373 6.4667
3.6373 -3.6373 6.4667
3.6373 3.6373 -6.4667
Pu U Pd S
2 4 2 10
Direct
0.2500 0.2500 0.0000
0.7500 0.7500 0.0000
0.1202 0.6202 0.7404
0.3798 0.1202 0.5000
0.6202 0.8798 0.5000
0.8798 0.3798 0.2596
0.2500 0.7500 0.5000
0.7500 0.2500 0.5000
0.0000 0.0000 0.0000
0.0437 0.1800 0.5000
0.1800 0.6800 0.1363
0.3200 0.4563 0.5000
0.4563 0.9563 0.1363
0.5000 0.5000 0.0000
0.5437 0.0437 0.8637
0.6800 0.5437 0.5000
0.8200 0.3200 0.8637
0.9563 0.8200 0.5000
```